PBE with a Hubbard U La6In2CoO, relaxed; space-group type = I4/mmm; energy = -103.80 eV/cell
1.0
-3.058 6.586 1.263
-3.860 -0.594 -6.251
-8.026 -4.764 5.410
In La Co O
4 12 2 2
Cartesian
-6.431 1.656 -2.703
-6.985 -3.722 2.494
-2.972 -1.339 -0.211
-10.443 -0.725 0.001
-6.153 4.359 -5.290
-8.224 2.250 0.537
-4.790 -0.724 3.012
-2.697 1.336 -2.824
-4.237 4.653 -2.188
-8.654 -0.512 3.221
-4.360 2.037 0.327
-5.043 -1.720 -3.242
-8.775 -3.936 -0.726
-6.308 2.544 3.639
-6.706 -1.020 -0.090
-4.612 1.041 -5.927
-2.896 -0.446 -4.689
-6.507 0.762 1.774
-6.907 -2.828 -1.982
-2.495 3.144 -0.933